# Th5Pa, relaxed, DFT PBE
# Energy above the lowest structure with this stoichiometry (meV per atom): 0
# Energy of formation (meV/atom): 63
# Raw total energy (eV per atom): -7.70
data_Th5Pa
_chemical_formula_sum 'Th10 Pa2'
_space_group_name_H-M_alt 'C m m m'
_space_group_IT_number 65
_space_group_name_Hall '-C 2 2'
_cell_length_a 4.993
_cell_length_b 14.880
_cell_length_c 4.952
_cell_angle_alpha 90.00
_cell_angle_beta 90.00
_cell_angle_gamma 90.00
loop_
_atom_site_label
_atom_site_fract_x
_atom_site_fract_y
_atom_site_fract_z
_atom_site_occupancy
Th1 0.000 0.000 0.000 1
Th2 0.000 0.164 0.500 1
Th3 0.000 0.336 0.000 1
Pa1 0.000 0.500 0.500 1

---

# SrLa2Ce, relaxed, DFT PBE
# Energy above the lowest structure with this stoichiometry (meV per atom): 387
# Energy of formation (meV/atom): 483
# Raw total energy (eV per atom): -3.88
data_SrLa2Ce
_chemical_formula_sum 'Sr3 La6 Ce3'
_space_group_name_H-M_alt 'R -3 m'
_space_group_IT_number 166
_space_group_name_Hall '-R 3 2"'
_cell_length_a 4.1927
_cell_length_b 4.1927
_cell_length_c 31.7313
_cell_angle_alpha 90.00
_cell_angle_beta 90.00
_cell_angle_gamma 120.00
loop_
_atom_site_label
_atom_site_fract_x
_atom_site_fract_y
_atom_site_fract_z
_atom_site_occupancy
Sr1 0.0000 0.0000 0.0000 1
La1 0.0000 0.0000 0.1171 1
Ce1 0.0000 0.0000 0.5000 1

---

# CaCrAs2Se, relaxed, DFT PBE
# Energy above the lowest structure with this stoichiometry (meV per atom): 0
# Formation energy (no corrections) (eV per atom): -0.362
# Raw total energy (eV per atom): -5.24
data_CaCrAs2Se
_chemical_formula_sum 'Ca1 Cr1 As2 Se1'
_space_group_name_H-M_alt 'P 4/m m m'
_space_group_IT_number 123
_space_group_name_Hall '-P 4 2'
_cell_length_a 4.566
_cell_length_b 4.566
_cell_length_c 5.621
_cell_angle_alpha 90.00
_cell_angle_beta 90.00
_cell_angle_gamma 90.00
loop_
_atom_site_label
_atom_site_fract_x
_atom_site_fract_y
_atom_site_fract_z
_atom_site_occupancy
Ca1 0.000 0.000 0.000 1
Cr1 0.500 0.500 0.500 1
As1 0.000 0.500 0.500 1
Se1 0.500 0.500 0.000 1